--- one ---
Computed, not measured: CoReHRu2 after structural relaxation at the GGA-PBE level of DFT.

## Properties
**Crystal system**: tetragonal
**Space-group type**: P4/mmm (123)
**Fermi-level density of states**: 3.3 states/eV/f.u.

Unit cell a=3.8149 b=3.8149 c=3.8467 alpha=90.00 beta=90.00 gamma=90.00
With the nearest neighbours (Å) after each atom.
Positions (direct):
Co1 0.5000 0.5000 0.5000  4 Re 2.70, 8 Ru 2.71
Ru1 0.0000 0.5000 0.0000  2 H 1.91
Ru2 0.5000 0.0000 0.0000  2 H 1.91
Re1 0.0000 0.0000 0.5000  2 H 1.92
H1 0.0000 0.0000 0.0000  4 Ru 1.91, 2 Re 1.92

=====

--- two ---
Computed, not measured: CoReHRu2 after structural relaxation at the GGA-PBE level of DFT.

## Properties
**Crystal system**: tetragonal
**Space-group type**: P4/mmm (123)
**Fermi-level density of states**: 3.2 states/eV/f.u.

Unit cell a=3.8572 b=3.8572 c=3.7163 alpha=90.00 beta=90.00 gamma=90.00
With the nearest neighbours (Å) after each atom.
Positions (direct):
H1 0.0000 0.0000 0.0000  2 Co 1.86, 4 Ru 1.93
Ru1 0.5000 0.0000 0.0000  2 H 1.93
Ru2 0.0000 0.5000 0.0000  2 H 1.93
Co1 0.0000 0.0000 0.5000  2 H 1.86
Re1 0.5000 0.5000 0.5000  8 Ru 2.68, 4 Co 2.73

=====

Result of the stability comparison: one is the least stable of them.

=====

--- one ---
Computed, not measured: Co2ReHRu after structural relaxation at the GGA-PBE level of DFT.

## Properties
**Crystal system**: tetragonal
**Space-group type**: P4/mmm (123)
**Fermi-level density of states**: 4.6 states/eV/f.u.

Unit cell a=3.6924 b=3.6924 c=3.8272 alpha=90.00 beta=90.00 gamma=90.00
With the nearest neighbours (Å) after each atom.
Positions (direct):
Co1 0.0000 0.5000 0.0000  2 H 1.85
Co2 0.5000 0.0000 0.0000  2 H 1.85
H1 0.0000 0.0000 0.0000  4 Co 1.85, 2 Re 1.91
Re1 0.0000 0.0000 0.5000  2 H 1.91
Ru1 0.5000 0.5000 0.5000  4 Re 2.61, 8 Co 2.66

=====

--- two ---
Computed, not measured: Co2ReHRu after structural relaxation at the GGA-PBE level of DFT.

## Properties
**Crystal system**: tetragonal
**Space-group type**: P4/mmm (123)
**Fermi-level density of states**: 4.5 states/eV/f.u.

Unit cell a=3.7075 b=3.7075 c=3.7680 alpha=90.00 beta=90.00 gamma=90.00
With the nearest neighbours (Å) after each atom.
Positions (direct):
Co1 0.0000 0.5000 0.0000  2 H 1.85
Co2 0.5000 0.0000 0.0000  2 H 1.85
Ru1 0.0000 0.0000 0.5000  2 H 1.88
Re1 0.5000 0.5000 0.5000  4 Ru 2.62, 8 Co 2.64
H1 0.0000 0.0000 0.0000  4 Co 1.85, 2 Ru 1.88

=====

Result of the stability comparison: one is the least stable of them.

=====

--- one ---
Computed, not measured: Sc2CoReH after structural relaxation at the GGA-PBE level of DFT.

## Properties
**Crystal system**: tetragonal
**Space-group type**: P4/mmm (123)
**Fermi-level density of states**: 3.7 states/eV/f.u.

Unit cell a=5.0636 b=5.0636 c=3.3209 alpha=90.00 beta=90.00 gamma=90.00
With the nearest neighbours (Å) after each atom.
Positions (direct):
Co1 0.5000 0.5000 0.5000  8 Sc 3.03, 2 Co 3.32
Sc1 0.5000 0.0000 0.0000  2 Re 2.53
Sc2 0.0000 0.5000 0.0000  2 Re 2.53
Re1 0.0000 0.0000 0.0000  2 H 1.66
H1 0.0000 0.0000 0.5000  2 Re 1.66

=====

--- two ---
Computed, not measured: Sc2CoReH after structural relaxation at the GGA-PBE level of DFT.

## Properties
**Crystal system**: tetragonal
**Space-group type**: P4/mmm (123)
**Fermi-level density of states**: 4.4 states/eV/f.u.

Unit cell a=4.8960 b=4.3059 c=4.8960 alpha=90.00 beta=90.00 gamma=90.00
With the nearest neighbours (Å) after each atom.
Positions (direct):
Sc1 0.0000 0.0000 0.5000  2 Co 2.45
Sc2 0.5000 0.0000 0.0000  2 Co 2.45
Re1 0.0000 0.5000 0.0000  2 Co 2.15
Co1 0.0000 0.0000 0.0000  2 Re 2.15
H1 0.5000 0.5000 0.5000  8 Sc 3.26, 4 Re 3.46

=====

Result of the stability comparison: two is the least stable of them.

=====

--- one ---
Computed, not measured: TaCo2ReH after structural relaxation at the GGA-PBE level of DFT.

## Properties
**Crystal system**: tetragonal
**Space-group type**: P4/mmm (123)
**Fermi-level density of states**: 4.3 states/eV/f.u.

Unit cell a=3.7626 b=3.7626 c=3.9122 alpha=90.00 beta=90.00 gamma=90.00
With the nearest neighbours (Å) after each atom.
Positions (direct):
Co1 0.0000 0.5000 0.0000  2 H 1.88
Co2 0.5000 0.0000 0.0000  2 H 1.88
Re1 0.0000 0.0000 0.5000  2 H 1.96
Ta1 0.5000 0.5000 0.5000  4 Re 2.66, 8 Co 2.71
H1 0.0000 0.0000 0.0000  4 Co 1.88, 2 Re 1.96

=====

--- two ---
Computed, not measured: TaCo2ReH after structural relaxation at the GGA-PBE level of DFT.

## Properties
**Crystal system**: tetragonal
**Space-group type**: P4/mmm (123)
**Fermi-level density of states**: 3.7 states/eV/f.u.

Unit cell a=3.7313 b=3.7313 c=3.9804 alpha=90.00 beta=90.00 gamma=90.00
With the nearest neighbours (Å) after each atom.
Positions (direct):
H1 0.0000 0.0000 0.0000  4 Co 1.87, 2 Ta 1.99
Co1 0.5000 0.0000 0.0000  2 H 1.87
Co2 0.0000 0.5000 0.0000  2 H 1.87
Re1 0.5000 0.5000 0.5000  4 Ta 2.64, 8 Co 2.73
Ta1 0.0000 0.0000 0.5000  2 H 1.99

=====

Result of the stability comparison: two is the least stable of them.

=====

--- one ---
Computed, not measured: VCo2ReH after structural relaxation at the GGA-PBE level of DFT.

## Properties
**Crystal system**: tetragonal
**Space-group type**: P4/mmm (123)
**Fermi-level density of states**: 3.3 states/eV/f.u.

Unit cell a=3.6002 b=3.6002 c=3.8692 alpha=90.00 beta=90.00 gamma=90.00
With the nearest neighbours (Å) after each atom.
Positions (direct):
H1 0.0000 0.0000 0.0000  4 Co 1.80, 2 V 1.93
Co1 0.0000 0.5000 0.0000  2 H 1.80
Co2 0.5000 0.0000 0.0000  2 H 1.80
V1 0.0000 0.0000 0.5000  2 H 1.93
Re1 0.5000 0.5000 0.5000  4 V 2.55, 8 Co 2.64

=====

--- two ---
Computed, not measured: VCo2ReH after structural relaxation at the GGA-PBE level of DFT.

## Properties
**Crystal system**: tetragonal
**Space-group type**: P4/mmm (123)
**Fermi-level density of states**: 3.8 states/eV/f.u.

Unit cell a=3.6193 b=3.6193 c=3.8741 alpha=90.00 beta=90.00 gamma=90.00
With the nearest neighbours (Å) after each atom.
Positions (direct):
V1 0.5000 0.5000 0.5000  4 Re 2.56, 8 Co 2.65
Co1 0.5000 0.0000 0.0000  2 H 1.81
Co2 0.0000 0.5000 0.0000  2 H 1.81
H1 0.0000 0.0000 0.0000  4 Co 1.81, 2 Re 1.94
Re1 0.0000 0.0000 0.5000  2 H 1.94

=====

Result of the stability comparison: two is the least stable of them.

=====

--- one ---
Computed, not measured: CoHRh2 after structural relaxation at the GGA-PBE level of DFT.

## Properties
**Crystal system**: tetragonal
**Space-group type**: I-42d (122)
**Fermi-level density of states**: 4.4 states/eV/f.u.

Unit cell a=5.9088 b=5.9088 c=4.8893 alpha=52.82 beta=52.82 gamma=90.00
With the nearest neighbours (Å) after each atom.
Positions (direct):
Co1 0.0000 0.0000 0.0000  2 H 2.54, 8 Rh 2.58-2.59
Co2 0.7500 0.2500 0.5000  2 H 2.54, 8 Rh 2.58-2.59
H1 0.2500 0.7500 0.5000  4 Rh 1.86
H2 0.5000 0.5000 0.0000  4 Rh 1.86
Rh1 0.2167 0.6250 0.2500  2 H 1.86
Rh2 0.3750 0.4667 0.7500  2 H 1.86
Rh3 0.8750 0.7833 0.7500  2 H 1.86
Rh4 0.5333 0.1250 0.2500  2 H 1.86

=====

--- two ---
Computed, not measured: CoHRh2 after structural relaxation at the GGA-PBE level of DFT.

## Properties
**Crystal system**: tetragonal
**Space-group type**: P4/mmm (123)
**Fermi-level density of states**: 6.0 states/eV/f.u.

Unit cell a=2.6756 b=2.6756 c=6.0483 alpha=90.00 beta=90.00 gamma=90.00
With the nearest neighbours (Å) after each atom.
Positions (direct):
Rh1 0.0000 0.0000 0.7890  4 H 2.28, 1 Rh 2.55
Rh2 0.0000 0.0000 0.2110  4 H 2.28, 1 Rh 2.55
Co1 0.5000 0.5000 0.5000  8 Rh 2.58, 4 Co 2.68
H1 0.5000 0.5000 0.0000  8 Rh 2.28

=====

--- three ---
Computed, not measured: CoHRh2 after structural relaxation at the GGA-PBE level of DFT.

## Properties
**Crystal system**: cubic
**Space-group type**: Fm-3m (225)
**Fermi-level density of states**: 6.1 states/eV/f.u.

Unit cell a=4.0163 b=4.0163 c=4.0163 alpha=60.00 beta=60.00 gamma=60.00
With the nearest neighbours (Å) after each atom.
Positions (direct):
Rh1 0.2500 0.2500 0.2500  4 Co 2.46, 4 H 2.46
Rh2 0.7500 0.7500 0.7500  4 Co 2.46, 4 H 2.46
Co1 0.5000 0.5000 0.5000  8 Rh 2.46
H1 0.0000 0.0000 0.0000  8 Rh 2.46

=====

Result of the stability comparison: three is the least stable of them.

=====

--- one ---
Computed, not measured: ScCoHRh2 after structural relaxation at the GGA-PBE level of DFT.

## Properties
**Crystal system**: tetragonal
**Space-group type**: P4/mmm (123)
**Fermi-level density of states**: 5.9 states/eV/f.u.

Unit cell a=3.9083 b=3.9083 c=3.9976 alpha=90.00 beta=90.00 gamma=90.00
With the nearest neighbours (Å) after each atom.
Positions (direct):
Sc1 0.0000 0.0000 0.5000  2 H 2.00
Co1 0.5000 0.5000 0.5000  4 Sc 2.76, 8 Rh 2.80
Rh1 0.0000 0.5000 0.0000  2 H 1.95
Rh2 0.5000 0.0000 0.0000  2 H 1.95
H1 0.0000 0.0000 0.0000  4 Rh 1.95, 2 Sc 2.00

=====

--- two ---
Computed, not measured: ScCoHRh2 after structural relaxation at the GGA-PBE level of DFT.

## Properties
**Crystal system**: tetragonal
**Space-group type**: P4/mmm (123)
**Fermi-level density of states**: 5.6 states/eV/f.u.

Unit cell a=3.9755 b=3.9755 c=3.7535 alpha=90.00 beta=90.00 gamma=90.00
With the nearest neighbours (Å) after each atom.
Positions (direct):
Sc1 0.5000 0.5000 0.5000  8 Rh 2.73, 4 Co 2.81
H1 0.0000 0.0000 0.0000  2 Co 1.88, 4 Rh 1.99
Rh1 0.5000 0.0000 0.0000  2 H 1.99
Rh2 0.0000 0.5000 0.0000  2 H 1.99
Co1 0.0000 0.0000 0.5000  2 H 1.88

=====

Result of the stability comparison: one is the least stable of them.

=====

--- one ---
Computed, not measured: Sc2CoHRh after structural relaxation at the GGA-PBE level of DFT.

## Properties
**Crystal system**: tetragonal
**Space-group type**: P4/mmm (123)
**Fermi-level density of states**: 1.7 states/eV/f.u.

Unit cell a=4.5060 b=4.5060 c=3.2891 alpha=90.00 beta=90.00 gamma=90.00
With the nearest neighbours (Å) after each atom.
Positions (direct):
Co1 0.0000 0.0000 0.5000  2 H 1.64
Sc1 0.5000 0.0000 0.0000  2 H 2.25
Sc2 0.0000 0.5000 0.0000  2 H 2.25
H1 0.0000 0.0000 0.0000  2 Co 1.64
Rh1 0.5000 0.5000 0.5000  8 Sc 2.79

=====

--- two ---
Computed, not measured: Sc2CoHRh after structural relaxation at the GGA-PBE level of DFT.

## Properties
**Crystal system**: tetragonal
**Space-group type**: P4/mmm (123)
**Fermi-level density of states**: 1.4 states/eV/f.u.

Unit cell a=4.5138 b=4.5138 c=3.3964 alpha=90.00 beta=90.00 gamma=90.00
With the nearest neighbours (Å) after each atom.
Positions (direct):
Co1 0.5000 0.5000 0.5000  8 Sc 2.82
H1 0.0000 0.0000 0.0000  2 Rh 1.70
Rh1 0.0000 0.0000 0.5000  2 H 1.70
Sc1 0.5000 0.0000 0.0000  2 H 2.26
Sc2 0.0000 0.5000 0.0000  2 H 2.26

=====

Result of the stability comparison: two is the least stable of them.